A plane-wave DFT calculation with meta-GGA SCAN was carried out for a PBEsol-optimized structure of CuP2Rh.

Results
**Space-group type**: No. 25
**ρ**: 6.9 g/cm³
**Formation enthalpy at 0 K**: -0.2 eV/f.u.

```
4
Lattice="-1.4611 -1.0387 -1.9389 -2.9099 -1.4798 2.9854 -2.4024 4.0219 -0.3481" Properties=species:S:1:pos:R:3 pbc="T T T"
Rh -2.2085 1.0854 -1.6146
Cu -4.4451 1.6500 -0.2371
P -3.2433 -0.3604 -0.0623
P -3.4022 3.0840 -1.7875
```

A plane-wave DFT calculation with meta-GGA SCAN was carried out for a PBEsol-optimized structure of Cu2PRh.

Results
**Space-group type**: No. 38
**ρ**: 8.8 g/cm³
**Formation enthalpy at 0 K**: -0.7 eV/f.u.

```
4
Lattice="2.8254 0.0000 0.0000 0.0000 3.5460 0.0000 -1.4127 0.0000 4.8991" Properties=species:S:1:pos:R:3 pbc="T T T"
Cu 0.0000 1.7730 3.1258
Cu 1.4127 0.0000 4.1771
P 0.0000 0.0000 1.6431
Rh 1.4127 1.7730 0.8190
```

A plane-wave DFT calculation with meta-GGA SCAN was carried out for a PBEsol-optimized structure of Cu3PRh.

Results
**Space-group type**: No. 221
**ρ**: 7.5 g/cm³
**Formation enthalpy at 0 K**: 2.4 eV/f.u.

```
5
Lattice="-3.1957 -1.8224 -1.9402 2.4484 -3.2019 -1.0253 -1.0445 -1.9300 3.5330" Properties=species:S:1:pos:R:3 pbc="T T T"
Cu -0.5222 -0.9650 1.7665
P 0.0000 0.0000 0.0000
Cu -1.5978 -0.9112 -0.9701
Rh -0.8959 -3.4771 0.2838
Cu 1.2242 -1.6010 -0.5126
```

A plane-wave DFT calculation with meta-GGA SCAN was carried out for a PBEsol-optimized structure of CuSbP2S.

Results
**Space-group type**: No. 123
**ρ**: 5.1 g/cm³
**Raw formation energy**: 0.71 eV per atom

```
5
Lattice="4.4552 0.0000 0.0000 0.0000 4.4552 0.0000 0.0000 0.0000 4.5589" Properties=species:S:1:pos:R:3 pbc="T T T"
S 0.0000 0.0000 2.2795
Cu 0.0000 0.0000 0.0000
P 0.0000 2.2276 0.0000
P 2.2276 0.0000 0.0000
Sb 2.2276 2.2276 2.2795
```